# NaSrTmCd

A relaxed NaSrTmCd crystal (PBE, Alexandria via LeMat-Bulk).

Structure (extended XYZ):
```
4
Lattice="5.617 0.000 0.000 2.809 4.865 0.000 2.809 1.622 4.586" Properties=species:S:1:pos:R:3 pbc="T T T"
Sr 2.809 1.622 1.147
Tm 8.426 4.865 3.440
Na 5.617 3.243 2.293
Cd 0.000 0.000 0.000
```

energy relative to the elements = 0.0433 eV/atom
calculated total energy = -2.054 eV per atom
magnetic moment = 0.00 μB per formula unit